Record 1
A plane-wave DFT calculation with PBE was carried out for an optimized crystal structure of Ho2ErZn3CuIr2.

Lattice parameters (Å, degrees): 3.7948 7.1525 7.1525 119.99 90.00 90.00
Fractional positions:
Cu 0.0000 0.0000 0.0000
Er 0.0000 0.5891 0.5891
Ho 0.0000 0.4109 0.0000
Ho 0.0000 0.0000 0.4109
Ir 0.5000 0.6666 0.3335
Ir 0.5000 0.3335 0.6666
Zn 0.5000 0.7531 0.0000
Zn 0.5000 0.2469 0.2469
Zn 0.5000 0.0000 0.7531

The total energy comes out at -44.43 eV/cell. The space-group type is Amm2. For the total magnetization, the calculation gives 0.00 μB/cell. The energy of formation from the pure elements comes out at -610 meV/atom.

=====

Record 2
A plane-wave DFT calculation with PBE was carried out for an optimized crystal structure of HoErMg2Cu4.

Lattice parameters (Å, degrees): 4.6603 4.6603 6.5963 90.00 90.00 90.00
Fractional positions:
Cu 0.5000 0.0000 0.2496
Cu 0.0000 0.5000 0.2496
Cu 0.5000 0.0000 0.7504
Cu 0.0000 0.5000 0.7504
Er 0.0000 0.0000 0.0000
Ho 0.5000 0.5000 0.5000
Mg 0.5000 0.5000 0.0000
Mg 0.0000 0.0000 0.5000

The total energy comes out at -28.79 eV/cell. The space-group type is P4/mmm. For the total magnetization, the calculation gives 0.01 μB/cell.

=====

Record 3
A plane-wave DFT calculation with PBE was carried out for an optimized crystal structure of HoErCu2Pb2.

Lattice parameters (Å, degrees): 4.6035 4.6035 7.3174 90.00 90.00 120.00
Fractional positions:
Cu 0.3333 0.6667 0.0596
Cu 0.6667 0.3333 0.5577
Er 0.0000 0.0000 0.2303
Ho 0.0000 0.0000 0.7305
Pb 0.3333 0.6667 0.4604
Pb 0.6667 0.3333 0.9616

The total energy comes out at -26.28 eV/cell. The space-group type is P3m1. For the total magnetization, the calculation gives 0.00 μB/cell.